No. 1
Material: SmScBiSb
Method: DFT, PBE
State: optimized geometry

```
data_SmScBiSb
_space_group_name_H-M_alt 'R -3 m'
_space_group_IT_number 166
_space_group_name_Hall '-R 3 2"'
_cell_length_a 5.2387
_cell_length_b 5.2387
_cell_length_c 34.0091
_cell_angle_alpha 90.00
_cell_angle_beta 90.00
_cell_angle_gamma 120.00
loop_
_atom_site_label
_atom_site_type_symbol
_atom_site_fract_x
_atom_site_fract_y
_atom_site_fract_z
_atom_site_occupancy
Sm1 Sm 0.0000 0.0000 0.1152 1
Sc1 Sc 0.0000 0.0000 0.2916 1
Bi1 Bi 0.0000 0.0000 0.3804 1
Sb1 Sb 0.0000 0.0000 0.2061 1
```

Computed properties:
formation energy from raw total energies: -0.631 eV/atom

No. 2
Material: TbScBiSb
Method: DFT, PBE
State: optimized geometry

```
data_TbScBiSb
_space_group_name_H-M_alt 'R -3 m'
_space_group_IT_number 166
_space_group_name_Hall '-R 3 2"'
_cell_length_a 5.1870
_cell_length_b 5.1870
_cell_length_c 33.9268
_cell_angle_alpha 90.00
_cell_angle_beta 90.00
_cell_angle_gamma 120.00
loop_
_atom_site_label
_atom_site_type_symbol
_atom_site_fract_x
_atom_site_fract_y
_atom_site_fract_z
_atom_site_occupancy
Tb1 Tb 0.0000 0.0000 0.1155 1
Sc1 Sc 0.0000 0.0000 0.2914 1
Bi1 Bi 0.0000 0.0000 0.3806 1
Sb1 Sb 0.0000 0.0000 0.2058 1
```

Computed properties:
formation energy from raw total energies: -0.609 eV/atom

No. 3
Material: Sc6Bi2SbTe3
Method: DFT, PBE
State: optimized geometry

```
data_Sc6Bi2SbTe3
_space_group_name_H-M_alt 'C 1 2/m 1'
_space_group_IT_number 12
_cell_length_a 18.3436
_cell_length_b 4.1963
_cell_length_c 8.4014
_cell_angle_alpha 90.00
_cell_angle_beta 103.33
_cell_angle_gamma 90.00
loop_
_space_group_symop_operation_xyz
'x,y,z'
'-x,-y,-z'
'-x,y,-z'
'x,-y,z'
'x+1/2,y+1/2,z'
'-x+1/2,-y+1/2,-z'
'-x+1/2,y+1/2,-z'
'x+1/2,-y+1/2,z'
loop_
_atom_site_label
_atom_site_type_symbol
_atom_site_fract_x
_atom_site_fract_y
_atom_site_fract_z
_atom_site_occupancy
Sc1 Sc 0.0007 0.0000 0.2600 1
Sc2 Sc 0.1620 0.5000 0.5806 1
Sc3 Sc 0.1657 0.5000 0.0829 1
Bi1 Bi 0.1668 0.0000 0.8337 1
Sb1 Sb 0.0000 0.5000 0.5000 1
Te1 Te 0.0000 0.5000 0.0000 1
Te2 Te 0.1683 0.0000 0.3340 1
```

Computed properties:
formation energy from raw total energies: -0.948 eV/atom

No. 4
Material: Sc4BiSb2Te
Method: DFT, PBE
State: optimized geometry

```
data_Sc4BiSb2Te
_space_group_name_H-M_alt 'P 1 2/m 1'
_space_group_IT_number 10
_cell_length_a 7.2489
_cell_length_b 4.1921
_cell_length_c 7.2529
_cell_angle_alpha 90.00
_cell_angle_beta 109.42
_cell_angle_gamma 90.00
loop_
_space_group_symop_operation_xyz
'x,y,z'
'-x,-y,-z'
'-x,y,-z'
'x,-y,z'
loop_
_atom_site_label
_atom_site_type_symbol
_atom_site_fract_x
_atom_site_fract_y
_atom_site_fract_z
_atom_site_occupancy
Sc1 Sc 0.2459 0.0000 0.2403 1
Sc2 Sc 0.2527 0.5000 0.7586 1
Bi1 Bi 0.0000 0.0000 0.5000 1
Sb1 Sb 0.0000 0.5000 0.0000 1
Sb2 Sb 0.5000 0.0000 0.0000 1
Te1 Te 0.5000 0.5000 0.5000 1
```

Computed properties:
formation energy from raw total energies: -0.942 eV/atom

No. 5
Material: Sc6Bi3Sb2Te
Method: DFT, PBE
State: optimized geometry

```
data_Sc6Bi3Sb2Te
_space_group_name_H-M_alt 'C 1 2/m 1'
_space_group_IT_number 12
_cell_length_a 18.3508
_cell_length_b 4.2136
_cell_length_c 8.4376
_cell_angle_alpha 90.00
_cell_angle_beta 103.28
_cell_angle_gamma 90.00
loop_
_space_group_symop_operation_xyz
'x,y,z'
'-x,-y,-z'
'-x,y,-z'
'x,-y,z'
'x+1/2,y+1/2,z'
'-x+1/2,-y+1/2,-z'
'-x+1/2,y+1/2,-z'
'x+1/2,-y+1/2,z'
loop_
_atom_site_label
_atom_site_type_symbol
_atom_site_fract_x
_atom_site_fract_y
_atom_site_fract_z
_atom_site_occupancy
Sc1 Sc 0.0025 0.0000 0.2525 1
Sc2 Sc 0.1678 0.5000 0.0896 1
Sc3 Sc 0.1687 0.5000 0.5786 1
Bi1 Bi 0.0000 0.5000 0.5000 1
Bi2 Bi 0.1653 0.0000 0.8332 1
Sb1 Sb 0.1667 0.0000 0.3328 1
Te1 Te 0.0000 0.5000 0.0000 1
```

Computed properties:
formation energy from raw total energies: -0.847 eV/atom

No. 6
Material: Sc4Bi2SbTe
Method: DFT, PBE
State: optimized geometry

```
data_Sc4Bi2SbTe
_space_group_name_H-M_alt 'P 1 2/m 1'
_space_group_IT_number 10
_cell_length_a 7.2883
_cell_length_b 4.2164
_cell_length_c 7.2947
_cell_angle_alpha 90.00
_cell_angle_beta 109.43
_cell_angle_gamma 90.00
loop_
_space_group_symop_operation_xyz
'x,y,z'
'-x,-y,-z'
'-x,y,-z'
'x,-y,z'
loop_
_atom_site_label
_atom_site_type_symbol
_atom_site_fract_x
_atom_site_fract_y
_atom_site_fract_z
_atom_site_occupancy
Sc1 Sc 0.2441 0.0000 0.2441 1
Sc2 Sc 0.2464 0.5000 0.7523 1
Bi1 Bi 0.0000 0.0000 0.5000 1
Bi2 Bi 0.5000 0.5000 0.5000 1
Sb1 Sb 0.0000 0.5000 0.0000 1
Te1 Te 0.5000 0.0000 0.0000 1
```

Computed properties:
formation energy from raw total energies: -0.865 eV/atom

No. 7
Material: ScBiSbTe2
Method: DFT, PBE
State: optimized geometry

```
data_ScBiSbTe2
_space_group_name_H-M_alt 'P 4/m m m'
_space_group_IT_number 123
_space_group_name_Hall '-P 4 2'
_cell_length_a 5.4811
_cell_length_b 5.4811
_cell_length_c 5.5814
_cell_angle_alpha 90.00
_cell_angle_beta 90.00
_cell_angle_gamma 90.00
loop_
_atom_site_label
_atom_site_type_symbol
_atom_site_fract_x
_atom_site_fract_y
_atom_site_fract_z
_atom_site_occupancy
Sc1 Sc 0.0000 0.0000 0.0000 1
Bi1 Bi 0.5000 0.5000 0.5000 1
Sb1 Sb 0.0000 0.0000 0.5000 1
Te1 Te 0.0000 0.5000 0.0000 1
```

Computed properties:
formation energy from raw total energies: -0.006 eV/atom
energy relative to the lowest polymorph listed for this composition: 0.00 eV/f.u.

No. 8
Material: Sc4BiSbTe2
Method: DFT, PBE
State: optimized geometry

```
data_Sc4BiSbTe2
_space_group_name_H-M_alt 'P 1 2/m 1'
_space_group_IT_number 10
_cell_length_a 7.2617
_cell_length_b 4.1910
_cell_length_c 7.2732
_cell_angle_alpha 90.00
_cell_angle_beta 109.51
_cell_angle_gamma 90.00
loop_
_space_group_symop_operation_xyz
'x,y,z'
'-x,-y,-z'
'-x,y,-z'
'x,-y,z'
loop_
_atom_site_label
_atom_site_type_symbol
_atom_site_fract_x
_atom_site_fract_y
_atom_site_fract_z
_atom_site_occupancy
Sc1 Sc 0.2412 0.0000 0.2411 1
Sc2 Sc 0.2457 0.5000 0.7549 1
Bi1 Bi 0.0000 0.0000 0.5000 1
Sb1 Sb 0.0000 0.5000 0.0000 1
Te1 Te 0.5000 0.0000 0.0000 1
Te2 Te 0.5000 0.5000 0.5000 1
```

Computed properties:
formation energy from raw total energies: -0.974 eV/atom